1.
Density functional theory data (PBE) for LiBiPbO4 after structural relaxation.

a b c (Å): 6.6687 7.0766 9.7443
angles (deg): 90.00 90.00 90.00
Last column: nearest neighbours and their distance in Å.
Space group Imma (No. 74)
Symmetry-distinct sites (fractional):
1 Li 0.0000 0.2500 0.0852  2 O 2.01
2 Bi 0.0000 0.0000 0.5000  6 O 2.40-2.41
3 Pb 0.2500 0.2500 0.7500  6 O 2.22-2.25
4 O 0.0000 0.0367 0.7449  2 Pb 2.25, 1 Bi 2.40
5 O 0.2425 0.2500 0.5218  1 Li 2.01, 1 Pb 2.22



2.
Density functional theory data (PBE) for Li2BiPb2O6 after structural relaxation.

The density of states at the Fermi level comes out at 4.04 states/eV/cell.

a b c (Å): 5.6352 5.6352 5.4857
angles (deg): 90.00 90.00 120.00
Last column: nearest neighbours and their distance in Å.
Space group P-31m (No. 162)
Symmetry-distinct sites (fractional):
1 Li 0.3333 0.6667 0.0000  6 O 2.23
2 Bi 0.0000 0.0000 0.0000  6 O 2.40
3 Pb 0.3333 0.6667 0.5000  6 O 2.32
4 O 0.0000 0.3578 0.2376  2 Li 2.23, 2 Pb 2.32, 1 Bi 2.40



3.
Density functional theory data (PBE) for LiBiPb2O after structural relaxation.

The density of states at the Fermi level comes out at 1.23 states/eV/cell.

a b c (Å): 5.2718 5.2718 4.1921
angles (deg): 90.00 90.00 90.00
Last column: nearest neighbours and their distance in Å.
Space group P4/mmm (No. 123)
Symmetry-distinct sites (fractional):
1 Li 0.0000 0.0000 0.0000  2 O 2.10
2 Bi 0.5000 0.5000 0.0000  8 Pb 3.37, 4 Li 3.73
3 Pb 0.0000 0.5000 0.5000  2 O 2.64
4 O 0.0000 0.0000 0.5000  2 Li 2.10



4.
Density functional theory data (PBE) for Li2BiPdO4 after structural relaxation.

The density of states at the Fermi level comes out at 7.52 states/eV/cell.

a b c (Å): 5.6397 5.6397 6.1285
angles (deg): 90.00 90.00 90.00
Last column: nearest neighbours and their distance in Å.
Space group I-4 (No. 82)
Symmetry-distinct sites (fractional):
1 Li 0.0000 0.0000 0.0000  4 O 2.07
2 Li 0.0000 0.5000 0.2500  4 O 2.11
3 Bi 0.0000 0.5000 0.7500  4 O 2.26
4 Pd 0.0000 0.0000 0.5000  4 O 2.02
5 O 0.1923 0.6994 0.4825  1 Pd 2.02, 2 Li 2.07-2.11



5.
Density functional theory data (PBE) for LiBiPd2O4 after structural relaxation.

a b c (Å): 7.0105 7.0105 4.4235
angles (deg): 90.00 90.00 90.00
Last column: nearest neighbours and their distance in Å.
Space group P4/nmm (No. 129, origin choice 2)
Symmetry-distinct sites (fractional):
1 Li 0.2500 0.7500 0.0000  4 O 1.97
2 Bi 0.2500 0.2500 0.0089  4 O 2.27
3 Pd 0.0000 0.0000 0.5000  4 O 2.05
4 O 0.0237 0.7500 0.2638  1 Li 1.97, 2 Pd 2.05



6.
Density functional theory data (PBE) for Li2Bi2PdO6 after structural relaxation.

a b c (Å): 5.8123 5.8123 15.2095
angles (deg): 90.00 90.00 120.00
Last column: nearest neighbours and their distance in Å.
Space group R-3m (No. 166, hexagonal axes)
Symmetry-distinct sites (fractional):
1 Li 0.0000 0.0000 0.0899  3 O 1.86
2 Bi 0.0000 0.0000 0.3027  3 O 2.21
3 Pd 0.0000 0.0000 0.5000  6 O 2.04
4 O 0.0347 0.5173 0.2572  1 Li 1.86, 1 Pd 2.04



7.
Density functional theory data (PBE) for LiBiPdO4 after structural relaxation.

The density of states at the Fermi level comes out at 6.80 states/eV/cell.

a b c (Å): 5.9683 6.4804 10.2898
angles (deg): 90.00 90.00 90.00
Last column: nearest neighbours and their distance in Å.
Space group Imma (No. 74)
Symmetry-distinct sites (fractional):
1 Li 0.0000 0.2500 0.1538  2 O 2.02
2 Bi 0.0000 0.0000 0.5000  6 O 2.18-2.22
3 Pd 0.2500 0.2500 0.7500  4 O 2.05
4 O 0.0000 0.0405 0.7144  2 Pd 2.05, 1 Bi 2.22
5 O 0.2397 0.2500 0.4715  1 Li 2.02, 2 Bi 2.18



8.
Density functional theory data (PBE) for Li15Bi4Pd2O20 after structural relaxation.

The density of states at the Fermi level comes out at 10.59 states/eV/cell.

a b c (Å): 5.4101 8.1232 11.2210
angles (deg): 92.51 103.60 104.51
Last column: nearest neighbours and their distance in Å.
Space group P1 (No. 1)
Symmetry-distinct sites (fractional):
1 Li 0.0000 0.0000 0.0000  6 O 2.16-2.41
2 Li 0.0032 0.0802 0.2503  4 O 1.98-2.11
3 Li 0.0122 0.3627 0.0743  5 O 2.03-2.27
4 Li 0.0231 0.6292 0.9162  3 O 2.00-2.20
5 Li 0.0298 0.2729 0.8475  4 O 1.97-2.16
6 Li 0.0351 0.5401 0.6584  4 O 1.98-2.14
7 Li 0.0738 0.4399 0.3581  4 O 2.01-2.21
8 Li 0.4670 0.5097 0.9981  4 O 2.03-2.12
9 Li 0.4808 0.6863 0.5440  5 O 2.09-2.33
10 Li 0.5001 0.8511 0.0737  4 O 2.05-2.14
11 Li 0.5313 0.7699 0.8471  4 O 2.02-2.20
12 Li 0.5399 0.0373 0.6527  4 O 2.02-2.23
13 Li 0.5455 0.9276 0.3547  5 O 2.03-2.27
14 Li 0.5613 0.1193 0.9204  4 O 2.03-2.15
15 Li 0.9869 0.1867 0.5451  5 O 2.08-2.21
16 Bi 0.0157 0.7142 0.1770  6 O 2.07-2.23
17 Bi 0.0215 0.9061 0.7352  6 O 2.06-2.22
18 Bi 0.5199 0.4022 0.7359  6 O 2.06-2.23
19 Bi 0.5217 0.2234 0.1774  6 O 2.08-2.23
20 Pd 0.0150 0.8154 0.4557  4 O 1.96-2.07
21 Pd 0.5215 0.3066 0.4571  4 O 1.96-2.05
22 O 0.2293 0.7894 0.6208  1 Pd 1.99, 3 Li 2.09-2.23, 1 Bi 2.22
23 O 0.2382 0.7134 0.3702  1 Pd 2.01, 3 Li 2.13-2.16, 1 Bi 2.22
24 O 0.2456 0.6183 0.0840  4 Li 2.00-2.13, 1 Bi 2.07
25 O 0.2661 0.1448 0.7029  2 Li 2.07-2.14, 2 Bi 2.16
26 O 0.2679 0.2548 0.0149  4 Li 2.03-2.18, 1 Bi 2.08
27 O 0.2713 0.9712 0.1879  4 Li 2.11-2.33, 2 Bi 2.18
28 O 0.2729 0.8818 0.8990  4 Li 2.02-2.20, 1 Bi 2.06
29 O 0.2749 0.5090 0.8135  4 Li 1.98-2.18, 1 Bi 2.08
30 O 0.2910 0.3061 0.2940  1 Pd 1.96, 2 Li 2.01-2.04
31 O 0.3022 0.4184 0.5453  1 Pd 2.05, 3 Li 2.15-2.21, 1 Bi 2.21
32 O 0.7418 0.2019 0.3681  1 Pd 2.03, 2 Li 2.14-2.20, 1 Bi 2.23
33 O 0.7463 0.2983 0.6230  1 Pd 1.98, 3 Li 2.08-2.21
34 O 0.7534 0.1055 0.0965  4 Li 1.98-2.20, 1 Bi 2.09
35 O 0.7591 0.7440 0.0132  4 Li 2.03-2.19, 1 Bi 2.09
36 O 0.7661 0.3697 0.8987  4 Li 1.97-2.19, 1 Bi 2.06
37 O 0.7733 0.6490 0.7227  3 Li 2.09-2.33, 2 Bi 2.16
38 O 0.7800 0.0139 0.8149  5 Li 2.02-2.20, 1 Bi 2.08
39 O 0.7858 0.9148 0.5476  1 Pd 2.07, 3 Li 2.14-2.27, 1 Bi 2.20
40 O 0.8207 0.8460 0.2915  1 Pd 1.96, 2 Li 2.03-2.04
41 O 0.8246 0.4552 0.1939  2 Li 2.04-2.08, 2 Bi 2.13-2.14



9.
Density functional theory data (PBE) for LiBi2PdO6 after structural relaxation.

The density of states at the Fermi level comes out at 15.06 states/eV/cell.

a b c (Å): 5.6275 5.6275 14.4419
angles (deg): 90.00 90.00 120.00
Last column: nearest neighbours and their distance in Å.
Space group R3 (No. 146, hexagonal axes)
Symmetry-distinct sites (fractional):
1 Li 0.0000 0.0000 0.0000  3 O 2.05
2 Bi 0.0000 0.0000 0.2234  6 O 2.28-2.35
3 Bi 0.0000 0.0000 0.7351  6 O 2.39
4 Pd 0.0000 0.0000 0.5235  6 O 2.03
5 O 0.0049 0.4088 0.7833  1 Pd 2.03
6 O 0.0324 0.6244 0.2777  1 Pd 2.03, 1 Li 2.05



10.
Density functional theory data (PBE) for LiPm2BiO6 after structural relaxation.

The density of states at the Fermi level comes out at 0.00 states/eV/cell.

a b c (Å): 5.7941 5.7941 14.8604
angles (deg): 90.00 90.00 120.00
Last column: nearest neighbours and their distance in Å.
Space group R3 (No. 146, hexagonal axes)
Symmetry-distinct sites (fractional):
1 Li 0.0000 0.0000 0.0000  3 O 2.13
2 Pm 0.0000 0.0000 0.2674  6 O 2.35-2.46
3 Pm 0.0000 0.0000 0.7676  6 O 2.32-2.49
4 Bi 0.0000 0.0000 0.4848  6 O 2.12-2.17
5 O 0.0597 0.3456 0.5543  1 Bi 2.12, 1 Pm 2.35
6 O 0.0651 0.6989 0.0567  1 Li 2.13, 1 Bi 2.17, 1 Pm 2.32



11.
Density functional theory data (PBE) for LiPmBiO4 after structural relaxation.

The density of states at the Fermi level comes out at 8.42 states/eV/cell.

a b c (Å): 6.2875 9.8113 7.1339
angles (deg): 90.00 90.00 90.00
Last column: nearest neighbours and their distance in Å.
Space group Cmcm (No. 63)
Symmetry-distinct sites (fractional):
1 Li 0.0000 0.1537 0.2500  4 O 2.00-2.15
2 Pm 0.0000 0.5000 0.0000  6 O 2.34-2.39
3 Bi 0.0000 0.1553 0.7500  4 O 2.15-2.19
4 O 0.0000 0.2618 0.0130  1 Li 2.00, 1 Bi 2.15
5 O 0.2460 0.0021 0.2500  1 Li 2.15, 1 Bi 2.19, 2 Pm 2.39



12.
Density functional theory data (PBE) for Li2PmBi2O6 after structural relaxation.

The density of states at the Fermi level comes out at 8.99 states/eV/cell.

a b c (Å): 5.6884 5.6884 5.5269
angles (deg): 90.00 90.00 120.00
Last column: nearest neighbours and their distance in Å.
Space group P-31m (No. 162)
Symmetry-distinct sites (fractional):
1 Li 0.3333 0.6667 0.0000  6 O 2.24
2 Pm 0.0000 0.0000 0.0000  6 O 2.40
3 Bi 0.3333 0.6667 0.5000  6 O 2.35
4 O 0.0000 0.3560 0.2338  2 Li 2.24, 2 Bi 2.35, 1 Pm 2.40



13.
Density functional theory data (PBE) for LiPr2BiO6 after structural relaxation.

The density of states at the Fermi level comes out at 0.00 states/eV/cell.

a b c (Å): 5.6729 5.9755 9.8813
angles (deg): 90.00 123.37 90.00
Last column: nearest neighbours and their distance in Å.
Space group P2_1/c (No. 14)
Symmetry-distinct sites (fractional):
1 Li 0.0000 0.0000 0.0000  6 O 2.19-2.26
2 Pr 0.2221 0.0642 0.7468  6 O 2.38-2.65
3 Bi 0.5000 0.0000 0.5000  6 O 2.13-2.15
4 O 0.1409 0.1940 0.4422  1 Bi 2.13, 1 Li 2.19
5 O 0.2401 0.7059 0.4319  1 Bi 2.15, 1 Li 2.20, 1 Pr 2.40
6 O 0.3781 0.0495 0.2556  1 Bi 2.14, 1 Li 2.26, 1 Pr 2.38



14.
Density functional theory data (PBE) for LiBiPtO4 after structural relaxation.

The density of states at the Fermi level comes out at 5.85 states/eV/cell.

a b c (Å): 6.0280 6.5267 10.6513
angles (deg): 90.00 90.00 90.00
Last column: nearest neighbours and their distance in Å.
Space group Imma (No. 74)
Symmetry-distinct sites (fractional):
1 Li 0.0000 0.2500 0.1429  2 O 1.97
2 Bi 0.0000 0.0000 0.5000  6 O 2.20-2.27
3 Pt 0.2500 0.2500 0.7500  4 O 2.03
4 O 0.0000 0.0511 0.7108  2 Pt 2.03, 1 Bi 2.27
5 O 0.2363 0.2500 0.4663  1 Li 1.97, 2 Bi 2.20



15.
Density functional theory data (PBE) for LiBiPt2O8 after structural relaxation.

a b c (Å): 5.3168 5.3168 5.7345
angles (deg): 90.00 90.00 120.00
Last column: nearest neighbours and their distance in Å.
Space group P-3 (No. 147)
Symmetry-distinct sites (fractional):
1 Li 0.0000 0.0000 0.0000  6 O 2.03
2 Bi 0.0000 0.0000 0.5000  6 O 2.64, 2 Li 2.87
3 Pt 0.3333 0.6667 0.9471  7 O 1.98-2.07
4 O 0.0501 0.3606 0.1637  2 Pt 2.00-2.07, 1 Li 2.03
5 O 0.3333 0.6667 0.6021  1 Pt 1.98



16.
Density functional theory data (PBE) for LiBi2PtO6 after structural relaxation.

The density of states at the Fermi level comes out at 11.02 states/eV/cell.

a b c (Å): 5.5236 5.9592 9.5175
angles (deg): 90.00 124.83 90.00
Last column: nearest neighbours and their distance in Å.
Space group P2_1/c (No. 14)
Symmetry-distinct sites (fractional):
1 Li 0.0000 0.0000 0.0000  6 O 2.13-2.26
2 Bi 0.2395 0.0701 0.7324  6 O 2.30-2.54
3 Pt 0.5000 0.0000 0.5000  6 O 2.01-2.03
4 O 0.1461 0.0532 0.2583  1 Pt 2.02, 1 Li 2.13
5 O 0.2138 0.6697 0.0301  1 Pt 2.03, 1 Li 2.23
6 O 0.3854 0.2243 0.0717  1 Pt 2.01



17.
Density functional theory data (PBE) for Li2Bi2PtO6 after structural relaxation.

The density of states at the Fermi level comes out at 0.00 states/eV/cell.

a b c (Å): 5.7926 5.7926 15.4017
angles (deg): 90.00 90.00 120.00
Last column: nearest neighbours and their distance in Å.
Space group R-3m (No. 166, hexagonal axes)
Symmetry-distinct sites (fractional):
1 Li 0.0000 0.0000 0.0895  3 O 1.86
2 Bi 0.0000 0.0000 0.3023  3 O 2.22
3 Pt 0.0000 0.0000 0.5000  6 O 2.04
4 O 0.0359 0.5180 0.2572  1 Li 1.86, 1 Pt 2.04



18.
Density functional theory data (PBE) for Li2BiPtO4 after structural relaxation.

The density of states at the Fermi level comes out at 9.77 states/eV/cell.

a b c (Å): 5.6344 5.6344 6.2526
angles (deg): 90.00 90.00 90.00
Last column: nearest neighbours and their distance in Å.
Space group I-4 (No. 82)
Symmetry-distinct sites (fractional):
1 Li 0.0000 0.0000 0.0000  4 O 2.14
2 Li 0.0000 0.5000 0.2500  4 O 2.07
3 Bi 0.0000 0.0000 0.5000  4 O 2.30
4 Pt 0.0000 0.5000 0.7500  4 O 2.01
5 O 0.1939 0.7979 0.7682  1 Pt 2.01, 2 Li 2.07-2.14



19.
Density functional theory data (PBE) for LiPuBi2O8 after structural relaxation.

The density of states at the Fermi level comes out at 3.34 states/eV/cell.

a b c (Å): 7.1665 7.1984 6.8134
angles (deg): 90.00 90.00 90.00
Last column: nearest neighbours and their distance in Å.
Space group Cmmm (No. 65)
Symmetry-distinct sites (fractional):
1 Li 0.0000 0.0000 0.0000  6 O 2.16-2.35
2 Pu 0.0000 0.0000 0.5000  6 O 1.98-2.15
3 Bi 0.0000 0.5000 0.2410  6 O 2.17-2.30
4 O 0.0000 0.1836 0.2845  1 Pu 1.98
5 O 0.1985 0.5000 0.0000  1 Li 2.16, 2 Bi 2.17
6 O 0.2002 0.5000 0.5000  1 Pu 2.15, 2 Bi 2.27



no.,uncorrected formation energy (eV/f.u.),calculated density (g/cm3)
1,-8.21,7.0
2,-12.75,8.1
3,-3.02,9.2
4,-9.23,6.7
5,-8.23,7.5
6,-12.21,7.1
7,-6.53,6.4
8,-59.68,5.3
9,-10.28,7.9
10,-22.91,6.9
11,-13.68,6.4
12,-19.06,7.2
13,-22.97,7.0
14,-6.30,7.5
15,-3.23,8.7
16,-11.13,9.2
17,-12.83,8.0
18,-9.44,8.1
19,-18.88,7.5